The following is a GGA-PBE calculation of a relaxed Zn2CrCl crystal, from Alexandria.

Computed properties:
Its energy is -0.122 Ha/atom. The calculated volume is 19.74 Å³ per atom. The calculation puts the uncorrected formation energy at 0.184 eV/atom.

Lattice parameters (Å, degrees): 5.9383 3.6464 3.6464 90.00 90.00 90.00
Fractional coordinates of all 4 atoms:
Cr: 0.5000 0.0000 0.5000
Zn: 0.0000 0.0000 0.0000
Zn: 0.0000 0.5000 0.5000
Cl: 0.5000 0.5000 0.0000